A geometry-optimized Rb2MgH4 structure. Source: Alexandria, functional PBE. Values from VASP.

Geometry as Quantum ESPRESSO input:
```
&SYSTEM
  ibrav = 0, nat = 28, ntyp = 3
/
ATOMIC_SPECIES
Rb 85.47 Rb.upf
Mg 24.30 Mg.upf
H 1.01 H.upf
CELL_PARAMETERS angstrom
7.310 0.000 0.000
0.000 8.072 0.000
0.000 0.000 11.131
ATOMIC_POSITIONS angstrom
Rb 1.221 2.018 1.430
Rb 1.539 2.018 8.822
Rb 2.116 6.054 3.257
Rb 2.434 6.054 6.996
Rb 4.876 2.018 4.136
Rb 5.194 2.018 7.875
Rb 5.771 6.054 2.309
Rb 6.089 6.054 9.701
Mg 1.548 2.018 5.042
Mg 2.107 6.054 10.608
Mg 5.203 2.018 0.524
Mg 5.762 6.054 6.090
H 0.109 6.054 5.293
H 0.787 6.054 0.793
H 1.701 4.670 9.418
H 1.701 7.438 9.418
H 1.954 0.634 3.853
H 1.954 3.402 3.853
H 2.868 2.018 6.359
H 3.546 2.018 10.859
H 3.764 6.054 0.273
H 4.442 6.054 4.773
H 5.356 4.670 7.279
H 5.356 7.438 7.279
H 5.609 0.634 1.713
H 5.609 3.402 1.713
H 6.523 2.018 10.339
H 7.201 2.018 5.839
```

DOS(E_F) = 0.000 states/eV/f.u.
Total moment = 0.0000 μB per atom
Calculated total energy = -2.589 eV/atom


A geometry-optimized RbMgH2 structure. Source: Alexandria, functional PBE. Values from VASP.

Geometry as Quantum ESPRESSO input:
```
&SYSTEM
  ibrav = 0, nat = 8, ntyp = 3
/
ATOMIC_SPECIES
Rb 85.47 Rb.upf
Mg 24.30 Mg.upf
H 1.01 H.upf
CELL_PARAMETERS angstrom
-2.714 2.714 5.763
2.714 -2.714 5.763
2.714 2.714 -5.763
ATOMIC_POSITIONS angstrom
Rb 0.000 0.000 0.000
Rb 0.000 2.714 2.882
Mg 2.714 0.000 2.882
Mg 0.000 0.000 5.763
H 1.357 -0.012 4.322
H 2.703 1.357 1.441
H 1.357 2.726 -1.441
H 0.012 1.357 7.204
```

Energy relative to the lowest polymorph listed for this composition = 13.6 kJ/mol of atoms
DOS(E_F) = 1.504 states/eV/f.u.
Total moment = 0.0000 μB per atom
Calculated total energy = -2.246 eV/atom


A geometry-optimized Rb2Mg2H structure. Source: Alexandria, functional PBE. Values from VASP.

Geometry as Quantum ESPRESSO input:
```
&SYSTEM
  ibrav = 0, nat = 5, ntyp = 3
/
ATOMIC_SPECIES
Rb 85.47 Rb.upf
Mg 24.30 Mg.upf
H 1.01 H.upf
CELL_PARAMETERS angstrom
5.759 0.000 0.000
0.000 5.759 0.000
0.000 0.000 5.162
ATOMIC_POSITIONS angstrom
Rb 0.000 2.880 0.000
Rb 2.880 0.000 0.000
Mg 0.000 0.000 2.581
Mg 2.880 2.880 2.581
H 0.000 0.000 0.000
```

Energy relative to the lowest polymorph listed for this composition = 0.0 kJ/mol of atoms
DOS(E_F) = 3.698 states/eV/f.u.
Total moment = 0.0001 μB per atom
Calculated total energy = -1.454 eV/atom


A geometry-optimized Rb3Mg5H12 structure. Source: Alexandria, functional PBE. Values from VASP.

Geometry as Quantum ESPRESSO input:
```
&SYSTEM
  ibrav = 0, nat = 80, ntyp = 3
/
ATOMIC_SPECIES
Rb 85.47 Rb.upf
Mg 24.30 Mg.upf
H 1.01 H.upf
CELL_PARAMETERS angstrom
-6.739 6.739 6.739
6.739 -6.739 6.739
6.739 6.739 -6.739
ATOMIC_POSITIONS angstrom
Rb 3.370 1.685 0.000
Rb 6.739 3.370 -1.685
Rb 1.685 0.000 3.370
Rb 8.424 0.000 3.370
Rb 0.000 3.370 1.685
Rb 3.370 -1.685 6.739
Rb 3.370 8.424 0.000
Rb 6.739 3.370 5.054
Rb -1.685 6.739 3.370
Rb 5.054 6.739 3.370
Rb 0.000 3.370 8.424
Rb 3.370 5.054 6.739
Mg 0.000 0.000 0.000
Mg 3.370 3.370 -3.370
Mg 3.370 -3.370 3.370
Mg 6.739 0.000 0.000
Mg 10.109 1.685 0.000
Mg 6.739 -3.370 5.054
Mg 5.054 6.739 -3.370
Mg 5.054 0.000 3.370
Mg 3.370 5.054 0.000
Mg 6.739 3.370 1.685
Mg -3.370 3.370 3.370
Mg 0.000 6.739 0.000
Mg 0.000 0.000 6.739
Mg 3.370 3.370 3.370
Mg 0.000 3.370 5.054
Mg 3.370 1.685 6.739
Mg 1.685 6.739 3.370
Mg 1.685 0.000 10.109
Mg 0.000 10.109 1.685
Mg -3.370 5.054 6.739
H 5.279 -3.881 3.925
H 11.570 0.555 -0.512
H 8.648 0.555 0.512
H 8.200 -2.858 3.925
H 9.597 2.815 -1.461
H 7.251 -4.830 6.184
H 3.925 5.279 -3.881
H 6.184 -0.512 1.909
H 6.184 7.251 -4.830
H 3.925 -1.461 3.881
H 3.881 3.925 -1.461
H 6.228 1.909 0.555
H 10.621 2.815 1.461
H 6.228 -1.909 6.184
H 6.184 6.228 -1.909
H 3.925 1.461 2.858
H 3.925 8.200 -2.858
H 6.184 0.512 4.830
H 2.858 3.925 1.461
H 7.251 4.830 0.555
H 1.909 6.184 -0.512
H 8.200 2.858 2.815
H 4.830 6.184 0.512
H 5.279 3.881 2.815
H 1.461 2.858 3.925
H 1.909 0.555 6.228
H -1.461 3.881 3.925
H 4.830 0.555 7.251
H -0.512 1.909 6.184
H 3.881 2.815 5.279
H 0.555 6.228 1.909
H 2.815 -1.461 9.597
H 2.815 5.279 3.881
H 0.555 0.512 8.648
H 0.512 8.648 0.555
H -3.881 3.925 5.279
H 0.512 4.830 6.184
H 2.858 2.815 8.200
H 2.815 8.200 2.858
H 0.555 -0.512 11.570
H 0.555 7.251 4.830
H 2.815 1.461 10.621
H -0.512 11.570 0.555
H -2.858 3.925 8.200
H -1.461 9.597 2.815
H -1.909 6.184 6.228
H -4.830 6.184 7.251
H 1.461 10.621 2.815
```

DOS(E_F) = 0.965 states/eV/f.u.
Total moment = 0.0000 μB per atom
Calculated total energy = -2.678 eV/atom


A geometry-optimized Rb3Mg2H8 structure. Source: Alexandria, functional PBE. Values from VASP.

Geometry as Quantum ESPRESSO input:
```
&SYSTEM
  ibrav = 0, nat = 13, ntyp = 3
/
ATOMIC_SPECIES
Rb 85.47 Rb.upf
Mg 24.30 Mg.upf
H 1.01 H.upf
CELL_PARAMETERS angstrom
3.097 1.788 7.357
-3.097 1.788 7.357
0.000 -3.576 7.357
ATOMIC_POSITIONS angstrom
Rb 0.000 0.000 0.000
Rb 0.000 0.000 4.552
Rb 0.000 0.000 17.520
Mg 0.000 0.000 9.192
Mg 0.000 0.000 12.880
H -1.539 -0.888 12.393
H 0.000 -1.777 9.679
H -1.539 0.888 9.679
H 0.000 0.000 7.323
H 0.000 0.000 14.748
H 1.539 -0.888 12.393
H 0.000 1.777 12.393
H 1.539 0.888 9.679
```

DOS(E_F) = 5.669 states/eV/f.u.
Total moment = 0.0818 μB per atom
Calculated total energy = -2.535 eV/atom


A geometry-optimized Rb2MgH6Rh structure. Source: Alexandria, functional PBE. Values from VASP.

Geometry as Quantum ESPRESSO input:
```
&SYSTEM
  ibrav = 0, nat = 10, ntyp = 4
/
ATOMIC_SPECIES
Rb 85.47 Rb.upf
Mg 24.30 Mg.upf
H 1.01 H.upf
Rh 102.91 Rh.upf
CELL_PARAMETERS angstrom
6.142 0.000 0.000
-3.071 5.319 0.000
0.000 0.000 5.038
ATOMIC_POSITIONS angstrom
Rb 0.000 3.546 1.475
Rb 3.071 1.773 3.563
Mg 0.000 0.000 0.000
H 0.000 1.404 3.540
H -1.855 4.617 3.540
H 1.216 0.702 1.498
H 1.855 4.617 3.540
H 4.926 0.702 1.498
H 3.071 3.915 1.498
Rh 0.000 0.000 2.519
```

DOS(E_F) = 3.286 states/eV/f.u.
Total moment = 0.0004 μB per atom
Calculated total energy = -3.385 eV/atom


A geometry-optimized Rb3SrMg2H9 structure. Source: Alexandria, functional PBE. Values from VASP.

Geometry as Quantum ESPRESSO input:
```
&SYSTEM
  ibrav = 0, nat = 15, ntyp = 4
/
ATOMIC_SPECIES
Rb 85.47 Rb.upf
Sr 87.62 Sr.upf
Mg 24.30 Mg.upf
H 1.01 H.upf
CELL_PARAMETERS angstrom
6.071 0.000 0.000
-3.035 5.258 0.000
0.000 0.000 7.536
ATOMIC_POSITIONS angstrom
Rb 0.000 0.000 0.000
Rb 0.000 3.505 5.160
Rb 3.035 1.753 2.375
Sr 0.000 0.000 3.768
Mg 0.000 3.505 1.197
Mg 3.035 1.753 6.339
H -1.518 2.629 0.000
H 0.000 1.899 2.331
H -1.391 4.308 2.331
H 1.644 0.949 5.205
H 3.035 0.000 0.000
H 1.518 2.629 0.000
H 1.391 4.308 2.331
H 4.426 0.949 5.205
H 3.035 3.359 5.205
```

DOS(E_F) = 0.000 states/eV/f.u.
Total moment = 0.0000 μB per atom
Calculated total energy = -2.803 eV/atom


A geometry-optimized Rb2SrMgH6 structure. Source: Alexandria, functional PBE. Values from VASP.

Geometry as Quantum ESPRESSO input:
```
&SYSTEM
  ibrav = 0, nat = 10, ntyp = 4
/
ATOMIC_SPECIES
Rb 85.47 Rb.upf
Sr 87.62 Sr.upf
Mg 24.30 Mg.upf
H 1.01 H.upf
CELL_PARAMETERS angstrom
4.545 0.000 0.000
0.000 4.545 0.000
0.000 0.000 8.694
ATOMIC_POSITIONS angstrom
Rb 0.000 0.000 1.969
Rb 0.000 0.000 6.725
Sr 2.272 2.272 4.347
Mg 2.272 2.272 0.000
H 0.000 2.272 0.000
H 0.000 2.272 4.347
H 2.272 0.000 0.000
H 2.272 0.000 4.347
H 2.272 2.272 1.894
H 2.272 2.272 6.800
```

DOS(E_F) = 0.000 states/eV/f.u.
Total moment = 0.0000 μB per atom
Calculated total energy = -2.803 eV/atom


A geometry-optimized Rb2MgTcH structure. Source: Alexandria, functional PBE. Values from VASP.

Geometry as Quantum ESPRESSO input:
```
&SYSTEM
  ibrav = 0, nat = 5, ntyp = 4
/
ATOMIC_SPECIES
Rb 85.47 Rb.upf
Mg 24.30 Mg.upf
Tc 98.00 Tc.upf
H 1.01 H.upf
CELL_PARAMETERS angstrom
7.047 0.000 0.000
0.000 7.047 0.000
0.000 0.000 3.707
ATOMIC_POSITIONS angstrom
Rb 0.000 3.523 0.000
Rb 3.523 0.000 0.000
Mg 0.000 0.000 0.000
Tc 3.523 3.523 1.853
H 0.000 0.000 1.853
```

DOS(E_F) = 6.227 states/eV/f.u.
Total moment = 0.6595 μB per atom
Calculated total energy = -2.215 eV/atom


A geometry-optimized RbMg2TiH structure. Source: Alexandria, functional PBE. Values from VASP.

Geometry as Quantum ESPRESSO input:
```
&SYSTEM
  ibrav = 0, nat = 5, ntyp = 4
/
ATOMIC_SPECIES
Rb 85.47 Rb.upf
Mg 24.30 Mg.upf
Ti 47.87 Ti.upf
H 1.01 H.upf
CELL_PARAMETERS angstrom
4.770 0.000 0.000
0.000 4.770 0.000
0.000 0.000 5.095
ATOMIC_POSITIONS angstrom
Rb 0.000 0.000 0.000
Mg 0.000 2.385 2.547
Mg 2.385 0.000 2.547
Ti 2.385 2.385 0.000
H 0.000 0.000 2.547
```

DOS(E_F) = 3.919 states/eV/f.u.
Total moment = 0.5494 μB per atom
Calculated total energy = -2.399 eV/atom


A geometry-optimized Rb2MgZnH6 structure. Source: Alexandria, functional PBE. Values from VASP.

Geometry as Quantum ESPRESSO input:
```
&SYSTEM
  ibrav = 0, nat = 10, ntyp = 4
/
ATOMIC_SPECIES
Rb 85.47 Rb.upf
Mg 24.30 Mg.upf
Zn 65.41 Zn.upf
H 1.01 H.upf
CELL_PARAMETERS angstrom
-2.841 2.841 4.055
2.841 -2.841 4.055
2.841 2.841 -4.055
ATOMIC_POSITIONS angstrom
Rb 2.841 0.000 2.028
Rb 0.000 2.841 2.028
Mg 0.000 0.000 0.000
Zn 0.000 0.000 4.055
H 0.000 0.000 2.040
H 1.490 1.490 0.000
H 1.352 -1.352 4.055
H -1.352 1.352 4.055
H 1.352 1.352 4.055
H 0.000 0.000 6.071
```

DOS(E_F) = 0.116 states/eV/f.u.
Total moment = 0.0000 μB per atom
Calculated total energy = -2.610 eV/atom


A geometry-optimized Mg3ReH structure. Source: Alexandria, functional PBE. Values from VASP.

Geometry as Quantum ESPRESSO input:
```
&SYSTEM
  ibrav = 0, nat = 5, ntyp = 3
/
ATOMIC_SPECIES
Mg 24.30 Mg.upf
Re 186.21 Re.upf
H 1.01 H.upf
CELL_PARAMETERS angstrom
4.142 0.000 0.000
0.000 4.142 0.000
0.000 0.000 4.142
ATOMIC_POSITIONS angstrom
Mg 0.000 0.000 2.071
Mg 0.000 2.071 0.000
Mg 2.071 0.000 0.000
Re 2.071 2.071 2.071
H 0.000 0.000 0.000
```

Energy relative to the lowest polymorph listed for this composition = 0.0 kJ/mol of atoms
DOS(E_F) = 0.216 states/eV/f.u.
Total moment = 0.0000 μB per atom
Calculated total energy = -3.804 eV/atom